Entry 1:
{
  "formula": "Nd2Sn5Pd3",
  "functional": "GGA-PBE",
  "state": "relaxed",
  "lattice_angstrom": [[-2.629, 3.736, -0.666], [-2.321, -2.793, -6.502], [-8.870, -7.922, 6.569]],
  "species": ["Nd", "Nd", "Nd", "Nd", "Sn", "Sn", "Sn", "Sn", "Sn", "Sn", "Sn", "Sn", "Sn", "Sn", "Pd", "Pd", "Pd", "Pd", "Pd", "Pd"],
  "fractional_positions": [[0.477, 0.750, 0.954], [0.173, 0.739, 0.346], [0.827, 0.239, 0.654], [0.523, 0.250, 0.046], [0.403, 0.384, 0.806], [0.289, 0.516, 0.577], [0.711, 0.016, 0.423], [0.120, 0.256, 0.239], [0.296, 0.936, 0.591], [0.951, 0.085, 0.903], [0.704, 0.436, 0.409], [0.880, 0.756, 0.761], [0.049, 0.585, 0.097], [0.597, 0.884, 0.194], [0.778, 0.718, 0.556], [0.606, 0.513, 0.211], [0.051, 0.968, 0.102], [0.222, 0.218, 0.444], [0.949, 0.468, 0.898], [0.394, 0.013, 0.789]],
  "vol_a3_per_atom": 23.0,
  "e_tot_ev_per_cell": -104.48,
  "e_form_ev_per_atom": -0.711,
  "polymorph_energy_mev_per_atom": 0
}


Entry 2:
{
  "formula": "NdSnPd2",
  "functional": "GGA-PBE",
  "state": "relaxed",
  "lattice_angstrom": [[6.266, 0.000, 0.000], [0.000, 7.229, 0.000], [0.000, 0.000, 7.724]],
  "species": ["Nd", "Nd", "Nd", "Nd", "Sn", "Sn", "Sn", "Sn", "Pd", "Pd", "Pd", "Pd", "Pd", "Pd", "Pd", "Pd"],
  "fractional_positions": [[0.331, 0.250, 0.031], [0.831, 0.750, 0.469], [0.669, 0.750, 0.969], [0.169, 0.250, 0.531], [0.668, 0.250, 0.383], [0.168, 0.750, 0.117], [0.332, 0.750, 0.617], [0.832, 0.250, 0.883], [0.930, 0.051, 0.184], [0.430, 0.949, 0.316], [0.070, 0.551, 0.816], [0.570, 0.449, 0.684], [0.070, 0.949, 0.816], [0.570, 0.051, 0.684], [0.930, 0.449, 0.184], [0.430, 0.551, 0.316]],
  "vol_a3_per_atom": 21.9,
  "e_tot_ev_per_cell": -89.81,
  "e_form_ev_per_atom": -0.824
}


Entry 3:
{
  "formula": "Nd7Sn2Pd2",
  "functional": "GGA-PBE",
  "state": "relaxed",
  "lattice_angstrom": [[7.077, -0.003, -0.868], [0.003, 7.186, 0.003], [-1.307, -0.002, 7.009]],
  "species": ["Nd", "Nd", "Nd", "Nd", "Nd", "Nd", "Nd", "Sn", "Sn", "Pd", "Pd"],
  "fractional_positions": [[0.000, 0.261, 0.500], [0.500, 0.739, 0.000], [0.000, 0.739, 0.500], [0.500, 0.261, 0.000], [0.000, 0.000, 0.000], [0.500, 0.756, 0.500], [0.500, 0.244, 0.500], [0.826, 0.500, 0.826], [0.174, 0.500, 0.174], [0.717, 0.000, 0.283], [0.283, 0.000, 0.717]],
  "vol_a3_per_atom": 31.7,
  "e_tot_ev_per_cell": -56.21,
  "e_form_ev_per_atom": -0.404
}


Entry 4:
{
  "formula": "Nd2SnPd",
  "functional": "GGA-PBE",
  "state": "relaxed",
  "lattice_angstrom": [[3.987, -0.574, 1.351], [-0.826, 7.505, -1.108], [0.189, -4.397, 4.314]],
  "species": ["Nd", "Nd", "Sn", "Pd"],
  "fractional_positions": [[0.140, 0.134, 0.471], [0.855, 0.634, 0.539], [0.422, 0.134, 0.905], [0.583, 0.634, 0.085]],
  "vol_a3_per_atom": 27.7,
  "e_tot_ev_per_cell": -21.70,
  "e_form_ev_per_atom": -0.742
}


Entry 5:
{
  "formula": "NdSnPd6",
  "functional": "GGA-PBE",
  "state": "relaxed",
  "lattice_angstrom": [[5.503, 0.000, 0.000], [2.752, 4.766, 0.000], [2.752, 1.589, 6.900]],
  "species": ["Nd", "Sn", "Pd", "Pd", "Pd", "Pd", "Pd", "Pd"],
  "fractional_positions": [[0.500, 0.500, 0.500], [0.000, 0.000, 0.000], [0.930, 0.930, 0.699], [0.441, 0.930, 0.699], [0.070, 0.559, 0.301], [0.559, 0.070, 0.301], [0.070, 0.070, 0.301], [0.930, 0.441, 0.699]],
  "vol_a3_per_atom": 22.6,
  "e_tot_ev_per_cell": -42.07,
  "e_form_ev_per_atom": -0.267,
  "polymorph_energy_mev_per_atom": 345
}


Entry 6:
{
  "formula": "NdSnPd",
  "functional": "GGA-PBE",
  "state": "relaxed",
  "lattice_angstrom": [[4.727, 0.000, 0.000], [0.000, 7.516, 0.000], [0.000, 0.000, 8.023]],
  "species": ["Nd", "Nd", "Nd", "Nd", "Sn", "Sn", "Sn", "Sn", "Pd", "Pd", "Pd", "Pd"],
  "fractional_positions": [[0.250, 0.488, 0.701], [0.750, 0.512, 0.299], [0.250, 0.988, 0.799], [0.750, 0.012, 0.201], [0.250, 0.812, 0.413], [0.750, 0.688, 0.913], [0.250, 0.312, 0.087], [0.750, 0.188, 0.587], [0.750, 0.299, 0.915], [0.250, 0.201, 0.415], [0.750, 0.799, 0.585], [0.250, 0.701, 0.085]],
  "vol_a3_per_atom": 23.8,
  "e_tot_ev_per_cell": -66.69,
  "e_form_ev_per_atom": -0.903
}


Entry 7:
{
  "formula": "NdSn2Pd8",
  "functional": "GGA-PBE",
  "state": "relaxed",
  "lattice_angstrom": [[0.440, -3.928, -2.929], [0.855, -2.635, 6.728], [-6.504, 2.802, -1.669]],
  "species": ["Nd", "Sn", "Sn", "Pd", "Pd", "Pd", "Pd", "Pd", "Pd", "Pd", "Pd"],
  "fractional_positions": [[0.500, 0.000, 0.000], [0.000, 0.311, 0.689], [0.000, 0.689, 0.311], [0.865, 0.912, 0.675], [0.865, 0.675, 0.912], [0.311, 0.578, 0.578], [0.500, 0.773, 0.227], [0.500, 0.227, 0.773], [0.689, 0.422, 0.422], [0.135, 0.325, 0.088], [0.135, 0.088, 0.325]],
  "vol_a3_per_atom": 18.5,
  "e_tot_ev_per_cell": -59.41,
  "e_form_ev_per_atom": -0.463
}


Entry 8:
{
  "formula": "Nd5Sn5Pd2",
  "functional": "GGA-PBE",
  "state": "relaxed",
  "lattice_angstrom": [[4.682, 0.000, 0.000], [-2.341, 5.956, -1.331], [0.000, -5.010, 12.793]],
  "species": ["Nd", "Nd", "Nd", "Nd", "Nd", "Sn", "Sn", "Sn", "Sn", "Sn", "Pd", "Pd"],
  "fractional_positions": [[0.500, 0.000, 0.500], [0.666, 0.331, 0.006], [0.647, 0.295, 0.266], [0.353, 0.705, 0.734], [0.334, 0.669, 0.994], [0.155, 0.310, 0.448], [0.678, 0.356, 0.779], [0.322, 0.644, 0.221], [0.845, 0.690, 0.552], [0.000, 0.000, 0.000], [0.058, 0.116, 0.779], [0.942, 0.884, 0.221]],
  "vol_a3_per_atom": 27.1,
  "e_tot_ev_per_cell": -62.21,
  "e_form_ev_per_atom": -0.664
}


Number 1: density of states at the Fermi level 6.99 states/eV/cell. Number 2: density of states at the Fermi level 7.08 states/eV/cell. Number 3: density of states at the Fermi level 12.84 states/eV/cell. Number 4: density of states at the Fermi level 2.10 states/eV/cell. Number 5: density of states at the Fermi level 3.75 states/eV/cell. Number 6: density of states at the Fermi level 8.52 states/eV/cell. Number 7: density of states at the Fermi level 4.30 states/eV/cell. Number 8: density of states at the Fermi level 5.38 states/eV/cell.